Crystalline ZnCu2HgRu at its relaxed geometry, computed with PBE.

Summary:
E above lowest polymorph ... 0 meV/atom
Calculated formation energy ... 5.6 eV/f.u.
Space-group type ... No. 123

Cell: 4.3984 4.8063 4.3984 Å, 90.00 90.00 90.00°
Each line ends with the local moment (μB).
Positions (direct):
Ru1 0.5000 0.5000 0.5000  1.74
Zn1 0.0000 0.0000 0.0000  0.01
Hg1 0.0000 0.5000 0.0000  -0.03
Cu1 0.0000 0.0000 0.5000  0.01
Cu2 0.5000 0.0000 0.0000  -0.01

Crystalline YCd2In at its relaxed geometry, computed with PBE.

Summary:
Calculated formation energy ... 1.6 eV/f.u.
Space-group type ... No. 187

Cell: 5.8293 5.0529 5.0529 Å, 60.00 90.00 90.00°
Positions (direct):
Y1 0.0000 0.0000 0.0000
Cd1 0.5000 0.0000 0.0000
Cd2 0.5000 0.3333 0.3333
In1 0.5000 0.6667 0.6667

Crystalline NaMg3Os at its relaxed geometry, computed with PBE.

Summary:
E above lowest polymorph ... 1130 meV/atom
Calculated formation energy ... 7.5 eV/f.u.
Space-group type ... No. 221

Cell: 4.7554 4.7554 4.7554 Å, 90.00 90.00 90.00°
Each line ends with the local moment (μB).
Positions (direct):
Na1 0.0000 0.0000 0.0000  0.01
Mg1 0.0000 0.5000 0.0000  -0.01
Mg2 0.5000 0.0000 0.0000  -0.01
Mg3 0.0000 0.0000 0.5000  -0.01
Os1 0.5000 0.5000 0.5000  1.26

Crystalline K6Na12Hg at its relaxed geometry, computed with PBE.

Summary:
Calculated formation energy ... 0.2 eV/f.u.
Space-group type ... No. 148

Cell: 9.6314 9.6314 9.6314 Å, 96.59 96.59 96.59°
Positions (direct):
K1 0.1184 0.2975 0.7488
K2 0.7025 0.2512 0.8816
K3 0.2512 0.8816 0.7025
K4 0.8816 0.7025 0.2512
K5 0.2975 0.7488 0.1184
K6 0.7488 0.1184 0.2975
Na1 0.4557 0.2218 0.5104
Na2 0.2218 0.5104 0.4557
Na3 0.5104 0.4557 0.2218
Na4 0.5443 0.7782 0.4896
Na5 0.7782 0.4896 0.5443
Na6 0.4896 0.5443 0.7782
Na7 0.8652 0.9382 0.6604
Na8 0.3396 0.1348 0.0618
Na9 0.0618 0.3396 0.1348
Na10 0.1348 0.0618 0.3396
Na11 0.6604 0.8652 0.9382
Na12 0.9382 0.6604 0.8652
Hg1 0.0000 0.0000 0.0000

Crystalline PrDyAu at its relaxed geometry, computed with PBE.

Summary:
E above lowest polymorph ... 33 meV/atom
Calculated formation energy ... -1.7 eV/f.u.
Space-group type ... No. 129

Cell: 4.8840 4.8841 7.3654 Å, 89.98 89.98 90.00°
Positions (direct):
Pr1 0.9808 0.9928 0.4993
Pr2 0.4806 0.4925 0.2583
Dy1 0.4805 0.9930 0.8789
Dy2 0.9804 0.4930 0.8788
Au1 0.9803 0.9928 0.1022
Au2 0.4806 0.4931 0.6554

Crystalline Zr3As4O20 at its relaxed geometry, computed with PBE.

Summary:
Raw formation energy ... -1.67 eV per atom
Space-group type ... No. 2

Cell: 5.6568 9.0196 9.6073 Å, 111.32 90.54 91.03°
Each line ends with the local moment (μB).
Positions (direct):
Zr1 0.0000 0.0000 0.0000  0.04
Zr2 0.7253 0.2735 0.5748  0.00
Zr3 0.2747 0.7265 0.4252  0.00
As1 0.2370 0.1340 0.7067  0.00
As2 0.7630 0.8660 0.2933  0.00
As3 0.7920 0.6877 0.6557  0.00
As4 0.2080 0.3123 0.3443  0.00
O1 0.1802 0.0817 0.8603  0.01
O2 0.8198 0.9183 0.1397  0.01
O3 0.5087 0.2260 0.7345  0.00
O4 0.4913 0.7740 0.2655  0.00
O5 0.2343 0.9667 0.5507  0.00
O6 0.7657 0.0333 0.4493  0.00
O7 0.0207 0.2623 0.7038  0.00
O8 0.9793 0.7377 0.2962  0.00
O9 0.4149 0.2689 0.4516  0.00
O10 0.5851 0.7311 0.5484  0.00
O11 0.7120 0.5215 0.6908  0.01
O12 0.2880 0.4785 0.3092  0.01
O13 0.8073 0.8421 0.8288  0.01
O14 0.1927 0.1579 0.1712  0.01
O15 0.0692 0.6742 0.5855  0.00
O16 0.9308 0.3258 0.4145  0.00
O17 0.2849 0.7935 0.9639  0.68
O18 0.7151 0.2065 0.0361  0.68
O19 0.7339 0.3499 0.0603  0.90
O20 0.2661 0.6501 0.9397  0.90